# Rb2NbWF6 | Alexandria | PBE with a Hubbard U | relaxed
# N(E_F) = 5.157 states/eV/cell
# electronic total energy = -5.169 eV/atom
data_Rb2NbWF6
_cell_length_a 9.047
_cell_length_b 9.047
_cell_length_c 9.047
_cell_angle_alpha 90.00
_cell_angle_beta 90.00
_cell_angle_gamma 90.00
_space_group_name_H-M_alt 'F m -3 m'
_space_group_IT_number 225
_space_group_name_Hall '-F 4 2 3'
loop_
_atom_site_label
_atom_site_type_symbol
_atom_site_fract_x
_atom_site_fract_y
_atom_site_fract_z
_atom_site_occupancy
Rb1 Rb 0.250 0.250 0.250 1
Nb1 Nb 0.000 0.000 0.000 1
W1 W 0.000 0.000 0.500 1
F1 F 0.000 0.000 0.258 1